# 1
Below is crystalline Pu6ZnGe5 at its relaxed geometry, with properties calculated at the GGA-PBE level.

Total energy, eV/atom: -9.54
Formation enthalpy at 0 K, eV/atom: -0.340

a b c (Å): 4.7870 7.7207 6.9831
angles (deg): 90.00 95.86 90.00
Last column: nearest neighbours and their distance in Å.
Element x y z (fractional)
Pu 0.0000 0.2378 0.0000  2 Pu 2.87, 6 Ge 3.01-3.02, 2 Zn 3.13
Pu 0.0000 0.7622 0.0000  2 Pu 2.87, 6 Ge 3.01-3.02, 2 Zn 3.13
Pu 0.2799 0.2540 0.6554  2 Pu 2.87-3.18, 7 Ge 3.02-3.20, 1 Zn 3.16
Pu 0.2799 0.7460 0.6554  2 Pu 2.87-3.18, 7 Ge 3.02-3.20, 1 Zn 3.16
Pu 0.7201 0.2540 0.3446  2 Pu 2.87-3.18, 7 Ge 3.02-3.20, 1 Zn 3.16
Pu 0.7201 0.7460 0.3446  2 Pu 2.87-3.18, 7 Ge 3.02-3.20, 1 Zn 3.16
Zn 0.5000 0.5000 0.0000  2 Ge 2.64
Ge 0.2102 0.0000 0.3248  1 Ge 2.78, 6 Pu 3.01-3.07
Ge 0.2110 0.5000 0.3023  1 Zn 2.64
Ge 0.5000 0.0000 0.0000  2 Ge 2.78, 4 Pu 3.02
Ge 0.7890 0.5000 0.6977  1 Zn 2.64
Ge 0.7898 0.0000 0.6752  1 Ge 2.78, 6 Pu 3.01-3.07

=====

# 2
Below is crystalline Dy3Ho2Hg3 at its relaxed geometry, with properties calculated at the GGA-PBE level.

Total energy, eV/atom: -3.34
Formation enthalpy at 0 K, eV/atom: -0.359

a b c (Å): 11.4737 11.4737 11.4737
angles (deg): 161.33 153.31 32.77
Last column: nearest neighbours and their distance in Å.
Element x y z (fractional)
Dy 0.0000 0.0000 0.0000  8 Hg 3.21-3.24
Dy 0.3784 0.8784 0.5000  6 Hg 3.24-3.26, 2 Ho 3.60
Dy 0.6216 0.1216 0.5000  6 Hg 3.24-3.26, 2 Ho 3.60
Ho 0.2323 0.2323 0.0000  2 Hg 3.11, 4 Ho 3.33
Ho 0.7677 0.7677 0.0000  2 Hg 3.11, 4 Ho 3.33
Hg 0.1189 0.6189 0.5000  2 Ho 3.11, 6 Dy 3.21-3.24
Hg 0.5000 0.5000 0.0000  8 Dy 3.24-3.26
Hg 0.8811 0.3811 0.5000  2 Ho 3.11, 6 Dy 3.21-3.24

=====

# 3
Below is crystalline ScReAu2 at its relaxed geometry, with properties calculated at the GGA-PBE level.

Total energy, eV/atom: -6.26
Formation enthalpy at 0 K, eV/atom: 0.071
Offset from the most stable computed form, meV per atom: 125

a b c (Å): 5.6529 5.6529 5.6529
angles (deg): 149.35 128.41 61.21
Last column: nearest neighbours and their distance in Å.
Element x y z (fractional)
Sc 0.0000 0.0000 0.0000  2 Re 2.81, 6 Au 2.88-2.92, 2 Sc 2.99
Re 0.7555 0.2555 0.5000  6 Au 2.80-2.88, 2 Sc 2.81, 2 Re 2.99
Au 0.2574 0.7574 0.5000  4 Re 2.88, 4 Au 2.90-2.99, 2 Sc 2.92
Au 0.5127 0.5127 0.0000  2 Re 2.80, 4 Sc 2.88, 4 Au 2.90-2.99

=====

# 4
Below is crystalline Sr3Cu3P4O16 at its relaxed geometry, with properties calculated at the GGA-PBE level.

Total energy, eV/atom: -6.74
Formation energy (no corrections), eV per atom: -2.19

a b c (Å): 9.5187 9.5187 17.4342
angles (deg): 116.15 116.15 30.52
Last column: nearest neighbours and their distance in Å.
Element x y z (fractional)
Sr 0.0394 0.6578 0.8629  6 O 2.53-2.72
Sr 0.2056 0.7944 0.7500  6 O 2.46-2.60
Sr 0.3422 0.9606 0.6371  6 O 2.53-2.72
Sr 0.6578 0.0394 0.3629  6 O 2.53-2.72
Sr 0.7944 0.2056 0.2500  6 O 2.46-2.60
Sr 0.9606 0.3422 0.1371  6 O 2.53-2.72
Cu 0.0000 0.5000 0.0000  4 O 1.93-2.03
Cu 0.1384 0.6597 0.5308  4 O 1.97-2.09
Cu 0.3403 0.8616 0.9692  4 O 1.97-2.09
Cu 0.5000 0.0000 0.5000  4 O 1.93-2.03
Cu 0.6597 0.1384 0.0308  4 O 1.97-2.09
Cu 0.8616 0.3403 0.4692  4 O 1.97-2.09
P 0.0208 0.5399 0.6199  4 O 1.52-1.59
P 0.2790 0.6850 0.3991  4 O 1.53-1.59
P 0.3150 0.7210 0.1009  4 O 1.53-1.59
P 0.4601 0.9792 0.8801  4 O 1.52-1.59
P 0.5399 0.0208 0.1199  4 O 1.52-1.59
P 0.6850 0.2790 0.8991  4 O 1.53-1.59
P 0.7210 0.3150 0.6009  4 O 1.53-1.59
P 0.9792 0.4601 0.3801  4 O 1.52-1.59
O 0.0975 0.8035 0.3131  1 P 1.53
O 0.0988 0.4645 0.7051  1 P 1.52
O 0.1256 0.7491 0.0300  1 P 1.53
O 0.1429 0.2887 0.5461  1 P 1.59
O 0.1477 0.5829 0.6232  1 P 1.55
O 0.1959 0.3032 0.9043  1 P 1.56
O 0.1962 0.6220 0.4236  1 P 1.58
O 0.1965 0.9025 0.1869  1 P 1.53
O 0.2509 0.8744 0.4700  1 P 1.53
O 0.2887 0.1429 0.0461  1 P 1.59
O 0.3032 0.1959 0.4043  1 P 1.56
O 0.3780 0.8038 0.0764  1 P 1.58
O 0.3890 0.5970 0.8850  1 P 1.59
O 0.4030 0.6110 0.6150  1 P 1.59
O 0.4171 0.8523 0.8768  1 P 1.55
O 0.4645 0.0988 0.2051  1 P 1.52
O 0.5355 0.9012 0.7949  1 P 1.52
O 0.5829 0.1477 0.1232  1 P 1.55
O 0.5970 0.3890 0.3850  1 P 1.59
O 0.6110 0.4030 0.1150  1 P 1.59
O 0.6220 0.1962 0.9236  1 P 1.58
O 0.6968 0.8041 0.5957  1 P 1.56
O 0.7113 0.8571 0.9539  1 P 1.59
O 0.7491 0.1256 0.5300  1 P 1.53
O 0.8035 0.0975 0.8131  1 P 1.53
O 0.8038 0.3780 0.5764  1 P 1.58
O 0.8041 0.6968 0.0957  1 P 1.56
O 0.8523 0.4171 0.3768  1 P 1.55
O 0.8571 0.7113 0.4539  1 P 1.59
O 0.8744 0.2509 0.9700  1 P 1.53
O 0.9012 0.5355 0.2949  1 P 1.52
O 0.9025 0.1965 0.6869  1 P 1.53